Entry 1:
The following is a PBE calculation of a geometry-optimized Mo2Os2S structure, from Alexandria.

Output
M_tot	0.0000	μB per atom
theoretical density	11736	kg/m3
crystal system	tetragonal
formation energy (no corrections)	0.5594	eV/atom
N(E_F)	4.80	states/eV/f.u.
calculated volume	17.104	Å³/atom

Unit cell a=3.5869 b=3.5869 c=13.2940 alpha=90.00 beta=90.00 gamma=90.00
Closest atoms and distances in Å follow each position.
Space group I4/mmm (No. 139)
Asymmetric unit:
Mo 0.0000 0.0000 0.1057 [4 per cell]  4 Os 2.63, 1 Mo 2.81, 4 S 2.90
Os 0.0000 0.5000 0.2500 [4 per cell]  4 Os 2.54, 4 Mo 2.63
S 0.0000 0.0000 0.5000 [2 per cell]  8 Mo 2.90

Entry 2:
The following is a PBE calculation of a geometry-optimized Yb5Co19P12 structure, from Alexandria.

Output
M_tot	0.1101	μB per atom
theoretical density	8655	kg/m3
crystal system	hexagonal
calculated formation energy	-0.8171	eV per atom
N(E_F)	68.79	states/eV/f.u.
calculated volume	12.559	Å³/atom

Unit cell a=11.9683 b=11.9683 c=3.6447 alpha=90.00 beta=90.00 gamma=120.00
Closest atoms and distances in Å follow each position.
Space group P-62m (No. 189)
Asymmetric unit:
Yb 0.0000 0.8161 0.0000 [3 per cell]  6 P 2.85, 10 Co 2.86-3.10
Yb 0.3333 0.6667 0.5000 [2 per cell]  6 P 2.79, 9 Co 2.99
Co 0.0000 0.0000 0.5000 [1 per cell]  3 P 2.19
Co 0.0000 0.2870 0.0000 [3 per cell]  4 P 2.18-2.21
Co 0.0000 0.4485 0.5000 [3 per cell]  1 P 2.21
Co 0.1242 0.6429 0.0000 [6 per cell]  4 P 2.22-2.32
Co 0.1785 0.3786 0.5000 [6 per cell]  4 P 2.25-2.33
P 0.0000 0.1827 0.5000 [3 per cell]  5 Co 2.19-2.25
P 0.0000 0.6329 0.5000 [3 per cell]  7 Co 2.21-2.33
P 0.1660 0.4817 0.0000 [6 per cell]  5 Co 2.18-2.29

Entry 3:
The following is a PBE calculation of a geometry-optimized Te3P structure, from Alexandria.

Output
M_tot	0.0000	μB per atom
theoretical density	4954	kg/m3
crystal system	tetragonal
formation energy (no corrections)	0.4894	eV/atom
N(E_F)	3.28	states/eV/f.u.
calculated volume	34.677	Å³/atom

Unit cell a=4.0662 b=4.0662 c=16.7784 alpha=90.00 beta=90.00 gamma=90.00
Closest atoms and distances in Å follow each position.
Space group I4/mmm (No. 139)
Asymmetric unit:
Te 0.0000 0.0000 0.0000 [2 per cell]  4 P 2.88
Te 0.0000 0.5000 0.2500 [4 per cell]  4 Te 2.88
P 0.0000 0.0000 0.5000 [2 per cell]  4 Te 2.88

Entry 4:
The following is a PBE calculation of a geometry-optimized CuSn2Au8 structure, from Alexandria.

Output
M_tot	0.0000	μB per atom
theoretical density	14360	kg/m3
crystal system	monoclinic
calculated formation energy	-0.0430	eV per atom
N(E_F)	3.71	states/eV/f.u.
calculated volume	19.728	Å³/atom

Unit cell a=15.1074 b=4.3179 c=7.7323 alpha=90.00 beta=120.63 gamma=90.00
Closest atoms and distances in Å follow each position.
Space group C2/m (No. 12)
Asymmetric unit:
Cu 0.0000 0.0000 0.0000 [2 per cell]  8 Au 2.68-2.71
Sn 0.1467 0.5000 0.6460 [4 per cell]  9 Au 2.92-3.23
Au 0.0018 0.5000 0.7907 [4 per cell]  2 Cu 2.71, 6 Au 2.90-2.98, 2 Sn 2.92-2.95
Au 0.1463 0.0000 0.3895 [4 per cell]  1 Cu 2.68, 5 Au 2.88-2.91, 2 Sn 2.93
Au 0.1502 0.0000 0.9111 [4 per cell]  1 Cu 2.69, 5 Au 2.90-2.91, 2 Sn 2.96
Au 0.1914 0.5000 0.1945 [4 per cell]  8 Au 2.88-2.98, 2 Sn 3.02

The highest M_tot belongs to which entry?
Yb5Co19P12